Record 1
A relaxed BaScAsI2 crystal. Source: the Alexandria database, functional GGA-PBE.

Its volume is 49.775 A^3/atom.

The structure belongs to space group P4/mmm (No. 123); the cell edges are 5.456, 5.456 and 8.360 Å and the angles 90.00°, 90.00° and 90.00°. The distinct sites, in fractional coordinates, are Ba at (0.000, 0.000, 0.000), Sc at (0.000, 0.000, 0.500), As at (0.500, 0.500, 0.000) and I at (0.000, 0.500, 0.500).

***

Record 2
A relaxed Ba6AsSe3I2 crystal. Source: the Alexandria database, functional GGA-PBE.

Its volume is 39.723 A^3/atom.

The structure belongs to space group C2/m (No. 12); the cell edges are 8.381, 14.466 and 8.345 Å and the angles 90.00°, 109.55° and 90.00°. The distinct sites, in fractional coordinates, are Ba at (0.219, 0.000, 0.236), Ba at (0.244, 0.155, 0.768), As at (0.000, 0.000, 0.500), Se at (0.000, 0.172, 0.000), Se at (0.000, 0.500, 0.000) and I at (0.000, 0.334, 0.500).

***

Record 3
A relaxed BaAsSe2I crystal. Source: the Alexandria database, functional GGA-PBE.

For the excess energy over the best structure of this formula in the dataset, the calculation gives 719 meV per atom. Its volume is 49.632 A^3/atom.

The structure belongs to space group P4/mmm (No. 123); the cell edges are 6.185, 6.185 and 6.486 Å and the angles 90.00°, 90.00° and 90.00°. The distinct sites, in fractional coordinates, are Ba at (0.000, 0.000, 0.000), As at (0.000, 0.000, 0.500), Se at (0.000, 0.500, 0.000) and I at (0.500, 0.500, 0.500).

***

Record 4
A relaxed BaAs2SeI crystal. Source: the Alexandria database, functional GGA-PBE.

For the excess energy over the best structure of this formula in the dataset, the calculation gives 664 meV per atom. Its volume is 52.159 A^3/atom.

The structure belongs to space group P4/mmm (No. 123); the cell edges are 6.491, 6.491 and 6.191 Å and the angles 90.00°, 90.00° and 90.00°. The distinct sites, in fractional coordinates, are Ba at (0.000, 0.000, 0.000), As at (0.000, 0.500, 0.000), Se at (0.000, 0.000, 0.500) and I at (0.500, 0.500, 0.500).

***

Computed raw formation energy (eV/atom) in order:
-0.285, -1.737, 0.574, 0.763
Computed E (eV per atom) in order:
-3.49, -4.22, -2.44, -2.49